Record 1
# La4TbDy8

A relaxed structure of La4TbDy8 (PBE-GGA, Alexandria).

Properties
The crystal system is trigonal.

Lattice parameters (Å, degrees): 11.0753 11.0753 13.5049 90.00 90.00 120.00
Space group R-3m (No. 166, hexagonal axes)
Symmetry-distinct sites (fractional):
1 La 0.0000 0.0000 0.0000 x3
2 La 0.0000 0.5000 0.0000 x9
3 Tb 0.0000 0.0000 0.5000 x3
4 Dy 0.0000 0.0000 0.2391 x6
5 Dy 0.0140 0.5070 0.7456 x18

---

Record 2
# La3Tb2Er8

A relaxed structure of La3Tb2Er8 (PBE-GGA, Alexandria).

Properties
The crystal system is monoclinic.

Lattice parameters (Å, degrees): 22.764 5.561 6.831 90.00 102.32 90.00
Space group C2/m (No. 12)
Symmetry-distinct sites (fractional):
1 La 0.000 0.000 0.000 x2
2 La 0.012 0.500 0.295 x4
3 Tb 0.229 0.000 0.809 x4
4 Er 0.078 0.000 0.595 x4
5 Er 0.126 0.500 0.974 x4
6 Er 0.169 0.500 0.516 x4
7 Er 0.178 0.000 0.261 x4

---

Record 3
# AsSe2IN

A relaxed structure of AsSe2IN (PBE-GGA, Alexandria).

Properties
As for the formation energy from raw total energies: 2.342 eV per atom. The crystal system is tetragonal.

Lattice parameters (Å, degrees): 5.297 5.297 5.553 90.00 90.00 90.00
Space group P4/mmm (No. 123)
Symmetry-distinct sites (fractional):
1 As 0.000 0.000 0.000 x1
2 Se 0.000 0.500 0.500 x2
3 I 0.000 0.000 0.500 x1
4 N 0.500 0.500 0.000 x1

---

Record 4
# HoErTm3

A relaxed structure of HoErTm3 (PBE-GGA, Alexandria).

Properties
The crystal system is triclinic.

Lattice parameters (Å, degrees): 6.173 6.588 9.034 107.61 90.00 117.90
Space group P-1 (No. 2)
Symmetry-distinct sites (fractional):
1 Ho 0.033 0.400 0.150 x2
2 Er 0.367 0.400 0.650 x2
3 Tm 0.167 0.001 0.250 x2
4 Tm 0.234 0.800 0.550 x2
5 Tm 0.434 0.200 0.950 x2

---

Record 5
# Mg2HgRh

A relaxed structure of Mg2HgRh (PBE-GGA, Alexandria).

Properties
The crystal system is trigonal.

Lattice parameters (Å, degrees): 3.1004 3.1004 27.7439 90.00 90.00 120.00
Space group R-3m (No. 166, hexagonal axes)
Symmetry-distinct sites (fractional):
1 Mg 0.0000 0.0000 0.2367 x6
2 Hg 0.0000 0.0000 0.0000 x3
3 Rh 0.0000 0.0000 0.5000 x3

---

Record 6
# NaCr2RhBr

A relaxed structure of NaCr2RhBr (PBE-GGA, Alexandria).

Properties
As for the formation energy from raw total energies: 1.627 eV per atom. The crystal system is tetragonal.

Lattice parameters (Å, degrees): 5.111 5.111 4.759 90.00 90.00 90.00
Space group P4/mmm (No. 123)
Symmetry-distinct sites (fractional):
1 Na 0.000 0.000 0.000 x1
2 Cr 0.000 0.500 0.000 x2
3 Rh 0.000 0.000 0.500 x1
4 Br 0.500 0.500 0.500 x1

---

no.,E_tot (eV per atom),M_tot (μB/cell)
1,-4.17,10.92
2,-4.57,0.00
3,-1.96,0.00
4,-4.51,0.00
5,-2.89,0.00
6,-4.29,10.76